Entry 1:
# PBE Cd2Si2Bi, relaxed
# calculated density: 7.05 g/cm3
# raw formation energy: 0.270 eV per atom
data_Cd2Si2Bi
_symmetry_space_group_name_H-M 'P 1'
_symmetry_Int_Tables_number 1
_symmetry_space_group_name_Hall 'P 1'
_cell_length_a 3.495
_cell_length_b 3.495
_cell_length_c 9.770
_cell_angle_alpha 79.70
_cell_angle_beta 79.70
_cell_angle_gamma 90.00
loop_
_atom_site_label
_atom_site_type_symbol
_atom_site_fract_x
_atom_site_fract_y
_atom_site_fract_z
Cd1 Cd 0.380 0.380 0.240
Si1 Si 0.250 0.750 0.500
Si2 Si 0.750 0.250 0.500
Bi1 Bi 0.000 0.000 0.000
Cd2 Cd 0.620 0.620 0.760

Entry 2:
# PBE Pm3Sm4Cd2, relaxed
# formation enthalpy at 0 K: -0.662 eV per formula unit
# calculated density: 7.47 g/cm3
data_Pm3Sm4Cd2
_symmetry_space_group_name_H-M 'P 1'
_symmetry_Int_Tables_number 1
_symmetry_space_group_name_Hall 'P 1'
_cell_length_a 5.000
_cell_length_b 7.854
_cell_length_c 7.943
_cell_angle_alpha 107.86
_cell_angle_beta 108.34
_cell_angle_gamma 90.00
loop_
_atom_site_label
_atom_site_type_symbol
_atom_site_fract_x
_atom_site_fract_y
_atom_site_fract_z
Cd1 Cd 0.335 0.001 0.671
Sm1 Sm 0.556 0.331 0.111
Pm1 Pm 0.000 0.000 0.000
Sm2 Sm 0.444 0.669 0.889
Pm2 Pm 0.885 0.326 0.770
Sm3 Sm 0.222 0.315 0.444
Pm3 Pm 0.115 0.674 0.230
Cd2 Cd 0.665 0.999 0.329
Sm4 Sm 0.778 0.685 0.556

Entry 3:
# PBE Na3Sm2HoTe6, relaxed
# calculated density: 5.49 g/cm3
# raw formation energy: -1.321 eV per atom
data_Na3Sm2HoTe6
_symmetry_space_group_name_H-M 'P 1'
_symmetry_Int_Tables_number 1
_symmetry_space_group_name_Hall 'P 1'
_cell_length_a 7.747
_cell_length_b 7.747
_cell_length_c 8.003
_cell_angle_alpha 99.30
_cell_angle_beta 99.30
_cell_angle_gamma 120.00
loop_
_atom_site_label
_atom_site_type_symbol
_atom_site_fract_x
_atom_site_fract_y
_atom_site_fract_z
Te1 Te 0.751 0.751 0.235
Na1 Na 0.169 0.831 0.500
Te2 Te 0.249 0.249 0.765
Sm1 Sm 0.334 0.666 0.000
Sm2 Sm 0.666 0.334 0.000
Te3 Te 0.078 0.406 0.235
Na2 Na 0.831 0.169 0.500
Te4 Te 0.406 0.078 0.235
Te5 Te 0.922 0.594 0.765
Na3 Na 0.500 0.500 0.500
Te6 Te 0.594 0.922 0.765
Ho1 Ho 0.000 0.000 0.000

Entry 4:
# PBE KNaH4, relaxed
# DFT total energy: -2.70 eV/atom
# calculated density: 0.95 g/cm3
data_KNaH4
_symmetry_space_group_name_H-M 'P 1'
_symmetry_Int_Tables_number 1
_symmetry_space_group_name_Hall 'P 1'
_cell_length_a 5.119
_cell_length_b 6.867
_cell_length_c 7.747
_cell_angle_alpha 116.31
_cell_angle_beta 106.75
_cell_angle_gamma 90.00
loop_
_atom_site_label
_atom_site_type_symbol
_atom_site_fract_x
_atom_site_fract_y
_atom_site_fract_z
H1 H 0.578 0.261 0.008
H2 H 0.691 0.241 0.481
H3 H 0.422 0.253 0.992
H4 H 0.422 0.739 0.992
H5 H 0.000 0.735 0.000
Na1 Na 0.233 0.602 0.203
K1 K 0.105 0.155 0.310
H6 H 0.578 0.747 0.008
H7 H 0.309 0.759 0.519
H8 H 0.000 0.265 0.000
K2 K 0.895 0.845 0.690
Na2 Na 0.767 0.398 0.797